DFT (PBE with a Hubbard U) results for a relaxed structure of CaMn6O5F7.

a b c (Å): 6.4608 6.4608 6.5663
angles (deg): 100.50 100.50 63.15
With the nearest neighbours (Å) after each atom.
Fractional positions:
Ca 0.0000 0.0000 0.0000  2 F 2.24, 4 O 2.37
Mn 0.9997 0.5219 0.1170  2 O 2.09-2.10, 3 F 2.15-2.18
Mn 0.2835 0.7165 0.5000  3 O 1.92-2.00, 1 F 2.05
Mn 0.4781 0.0003 0.8830  2 O 2.09-2.10, 3 F 2.15-2.18
Mn 0.4872 0.5128 0.0000  4 O 1.95-2.01
Mn 0.5726 0.1268 0.3589  2 O 1.99-2.01, 2 F 2.05-2.13
Mn 0.8732 0.4274 0.6411  2 O 1.99-2.01, 2 F 2.05-2.13
O 0.2327 0.6735 0.1878  3 Mn 2.00-2.09
O 0.3265 0.7673 0.8122  3 Mn 2.00-2.09
O 0.5676 0.4324 0.5000  3 Mn 1.92-2.01
O 0.6151 0.2053 0.0947  3 Mn 1.95-2.10
O 0.7947 0.3849 0.9053  3 Mn 1.95-2.10
F 0.0181 0.5293 0.4490  2 Mn 2.05-2.15
F 0.2054 0.3437 0.8192  3 Mn 2.13-2.38
F 0.2323 0.1638 0.1698  2 Mn 2.17-2.25, 1 Ca 2.24
F 0.4707 0.9819 0.5510  2 Mn 2.05-2.15
F 0.6563 0.7946 0.1808  3 Mn 2.13-2.38
F 0.8362 0.7677 0.8302  2 Mn 2.17-2.25, 1 Ca 2.24
F 0.9799 0.0201 0.5000  1 Mn 2.05

Computed properties:
- space group = C2
- raw total energy (eV/atom) = -6.74
- mass density (g cm⁻³) = 4.05